No. 1
# SiBO, relaxed, DFT GGA-PBE
data_SiBO
_chemical_formula_sum 'Si2 B2 O2'
_space_group_name_H-M_alt 'P -1'
_space_group_IT_number 2
_cell_length_a 2.865
_cell_length_b 3.561
_cell_length_c 7.495
_cell_angle_alpha 82.46
_cell_angle_beta 83.01
_cell_angle_gamma 79.64
loop_
_space_group_symop_operation_xyz
'x,y,z'
'-x,-y,-z'
loop_
_atom_site_label
_atom_site_type_symbol
_atom_site_fract_x
_atom_site_fract_y
_atom_site_fract_z
Si1 Si 0.169 0.108 0.307
B1 B 0.236 0.596 0.462
O1 O 0.311 0.813 0.812
# DOS(E_F) = 0.02 states/eV per atom
# E above lowest polymorph = 68 meV/atom
# crystal system = triclinic
# formation energy without anion corrections = -970 meV/atom
# calculated volume = 74.2 Å³/cell

***

No. 2
# Ti2RuW, relaxed, DFT GGA-PBE
data_Ti2RuW
_chemical_formula_sum 'Ti8 Ru4 W4'
_space_group_name_H-M_alt 'I -4 2 d'
_space_group_IT_number 122
_space_group_name_Hall 'I -4 2bw'
_cell_length_a 6.997
_cell_length_b 6.997
_cell_length_c 5.389
_cell_angle_alpha 90.00
_cell_angle_beta 90.00
_cell_angle_gamma 90.00
loop_
_atom_site_label
_atom_site_type_symbol
_atom_site_fract_x
_atom_site_fract_y
_atom_site_fract_z
Ti1 Ti 0.229 0.750 0.125
Ru1 Ru 0.000 0.000 0.000
W1 W 0.000 0.000 0.500
# DOS(E_F) = 1.00 states/eV per atom
# energy of formation from the pure elements = 1.27 eV per formula unit
# crystal system = tetragonal
# calculated volume = 263.8 Å³/cell

***

No. 3
# ReTeNCl2, relaxed, DFT GGA-PBE
data_ReTeNCl2
_chemical_formula_sum 'Re1 Te1 N1 Cl2'
_space_group_name_H-M_alt 'P 4/m m m'
_space_group_IT_number 123
_space_group_name_Hall '-P 4 2'
_cell_length_a 5.117
_cell_length_b 5.117
_cell_length_c 3.764
_cell_angle_alpha 90.00
_cell_angle_beta 90.00
_cell_angle_gamma 90.00
loop_
_atom_site_label
_atom_site_type_symbol
_atom_site_fract_x
_atom_site_fract_y
_atom_site_fract_z
Re1 Re 0.000 0.000 0.000
Te1 Te 0.500 0.500 0.500
N1 N 0.000 0.000 0.500
Cl1 Cl 0.000 0.500 0.000
# DOS(E_F) = 0.98 states/eV per atom
# crystal system = tetragonal
# formation energy without anion corrections = 525 meV/atom
# calculated volume = 98.5 Å³/cell